Entry from Alexandria: a relaxed Er5TmIn2 crystal (PBE-GGA).

Lattice parameters (Å, degrees): 3.4957 10.4275 12.6512 90.00 90.00 90.00
With the nearest neighbours (Å) after each atom.
Space group Immm (No. 71)
Asymmetric unit:
Er 0.0000 0.0000 0.0000 (multiplicity 2)  2 In 3.27, 10 Er 3.41-3.50
Er 0.0000 0.2702 0.3671 (multiplicity 8)  3 In 3.13-3.37, 7 Er 3.36-3.50
Tm 0.0000 0.5000 0.0000 (multiplicity 2)  2 Tm 3.50, 4 In 3.52, 8 Er 3.72
In 0.0000 0.0000 0.2588 (multiplicity 4)  7 Er 3.13-3.37, 2 In 3.50

Values from the calculation:
- Energy relative to the elements: -0.1594 eV per atom
- Final energy: -4.2547 eV per atom